Record 1
The following is a PBE-GGA calculation of Co4Ir after structural relaxation, from Alexandria.

a = 3.9352 Å, b = 5.0558 Å, c = 11.9202 Å
α = 90.00°, β = 90.00°, γ = 90.00°
Last column: nearest neighbours and their distance in Å.
Space group Imma (No. 74)
Inequivalent atoms, fractional coordinates:
Co1 0.0000 0.0000 0.0000 x4  4 Co 2.39-2.53, 4 Ir 2.65
Co2 0.0000 0.0073 0.2008 x8  6 Co 2.29-2.56
Co3 0.0000 0.2500 0.3899 x4  3 Ir 2.53-2.57, 10 Co 2.56-2.68
Ir1 0.0000 0.2500 0.6051 x4  13 Co 2.53-2.65

- ΔE to the lowest computed polymorph (meV per atom) = 27
- formation energy (kJ per mole of atoms) = 7

=====

Record 2
The following is a PBE-GGA calculation of Rb2BaNaGa after structural relaxation, from Alexandria.

a = 6.8108 Å, b = 6.8108 Å, c = 5.8188 Å
α = 90.00°, β = 90.00°, γ = 90.00°
Last column: nearest neighbours and their distance in Å.
Space group P4/mmm (No. 123)
Inequivalent atoms, fractional coordinates:
Rb1 0.0000 0.5000 0.0000 x2  2 Na 3.41
Ba1 0.0000 0.0000 0.5000 x1  8 Rb 4.48, 4 Ga 4.82
Na1 0.5000 0.5000 0.0000 x1  2 Ga 2.91
Ga1 0.5000 0.5000 0.5000 x1  2 Na 2.91

- formation energy (kJ per mole of atoms) = 30

=====

Record 3
The following is a PBE-GGA calculation of Tb8Pm2Th after structural relaxation, from Alexandria.

a = 19.2745 Å, b = 6.8656 Å, c = 5.6228 Å
α = 90.00°, β = 93.87°, γ = 90.00°
Last column: nearest neighbours and their distance in Å.
Space group C2/m (No. 12)
Inequivalent atoms, fractional coordinates:
Tb1 0.0484 0.0000 0.2302 x4  1 Tb 3.09, 1 Pm 3.27
Tb2 0.1283 0.2392 0.7266 x8  5 Tb 3.28-3.58, 2 Pm 3.45-3.66, 1 Th 3.49
Tb3 0.1831 0.5000 0.2240 x4  4 Pm 3.39-3.50, 4 Tb 3.43-3.57, 1 Th 3.67
Pm1 0.2182 0.0000 0.2539 x4  7 Tb 3.27-3.50
Th1 0.0000 0.5000 0.0000 x2  10 Tb 3.49-3.76

- ΔE to the lowest computed polymorph (meV per atom) = 167
- formation energy (kJ per mole of atoms) = 19

=====

Record 4
The following is a PBE-GGA calculation of Y2TeH after structural relaxation, from Alexandria.

a = 3.8753 Å, b = 3.8753 Å, c = 20.9160 Å
α = 90.00°, β = 90.00°, γ = 120.00°
Last column: nearest neighbours and their distance in Å.
Space group R-3m (No. 166, hexagonal axes)
Inequivalent atoms, fractional coordinates:
Y1 0.0000 0.0000 0.2312 x6  3 H 2.61
Te1 0.0000 0.0000 0.0000 x3  6 Y 3.09
H1 0.0000 0.0000 0.5000 x3  6 Y 2.61

- ΔE to the lowest computed polymorph (meV per atom) = 117

=====

Record 5
The following is a PBE-GGA calculation of Pr4Bi3P after structural relaxation, from Alexandria.

a = 9.1162 Å, b = 12.8241 Å, c = 4.5098 Å
α = 90.00°, β = 90.00°, γ = 90.00°
Last column: nearest neighbours and their distance in Å.
Space group Cmmm (No. 65)
Inequivalent atoms, fractional coordinates:
Pr1 0.0000 0.2395 0.0000 x4  1 P 3.07, 5 Bi 3.21-3.34
Pr2 0.2306 0.0000 0.5000 x4  2 P 3.08, 4 Bi 3.21-3.33
Bi1 0.0000 0.5000 0.0000 x2  6 Pr 3.33-3.34
Bi2 0.2500 0.2500 0.5000 x4  6 Pr 3.21
P1 0.0000 0.0000 0.0000 x2  6 Pr 3.07-3.08

- formation energy (kJ per mole of atoms) = -101

=====

Record 6
The following is a PBE-GGA calculation of Ca3SiBr2 after structural relaxation, from Alexandria.

a = 4.0641 Å, b = 4.0641 Å, c = 12.1867 Å
α = 90.00°, β = 90.00°, γ = 120.00°
Last column: nearest neighbours and their distance in Å.
Space group P-6m2 (No. 187)
Inequivalent atoms, fractional coordinates:
Ca1 0.0000 0.0000 0.0000 x1  6 Br 3.15
Ca2 0.0000 0.0000 0.3530 x2  3 Si 2.95, 3 Br 3.21
Si1 0.3333 0.6667 0.5000 x1  6 Ca 2.95
Br1 0.6667 0.3333 0.1729 x2  6 Ca 3.15-3.21

- ΔE to the lowest computed polymorph (meV per atom) = 229
- ΔE_f (raw) (eV per atom) = -0.99

=====

Record 7
The following is a PBE-GGA calculation of Na3GePCO7 after structural relaxation, from Alexandria.

a = 5.4306 Å, b = 6.9391 Å, c = 9.3375 Å
α = 90.00°, β = 94.90°, γ = 90.00°
Last column: nearest neighbours and their distance in Å.
Space group P2_1/m (No. 11)
Inequivalent atoms, fractional coordinates:
Na1 0.2030 0.2500 0.4100 x2  4 O 2.34-2.51
Na2 0.2719 0.9995 0.7629 x4  4 O 2.29-2.48
Ge1 0.1981 0.7500 0.1390 x2  2 O 1.99-2.05
P1 0.2447 0.2500 0.1013 x2  4 O 1.52-1.60
C1 0.2713 0.7500 0.4386 x2  3 O 1.28-1.34
O1 0.0764 0.7500 0.3410 x2  1 C 1.34
O2 0.1368 0.0716 0.1763 x4  1 P 1.56
O3 0.1574 0.2500 0.9336 x2  1 P 1.60
O4 0.2281 0.7500 0.5717 x2  1 C 1.28
O5 0.4737 0.7500 0.8822 x2  1 P 1.52
O6 0.4920 0.7500 0.3966 x2  1 C 1.29

- ΔE to the lowest computed polymorph (meV per atom) = 8
- ΔE_f (raw) (eV per atom) = -1.84

=====

Record 8
The following is a PBE-GGA calculation of U3Ge3Pt2 after structural relaxation, from Alexandria.

a = 4.4183 Å, b = 10.2959 Å, c = 14.1548 Å
α = 90.00°, β = 90.00°, γ = 90.00°
Last column: nearest neighbours and their distance in Å.
Space group Cmcm (No. 63)
Inequivalent atoms, fractional coordinates:
U1 0.0000 0.0800 0.1118 x8  3 Pt 2.98-3.10, 7 Ge 2.99-3.31, 1 U 3.31
U2 0.0000 0.3396 0.2500 x4  5 Ge 2.98-3.10, 4 Pt 3.06, 2 U 3.31
Ge1 0.0000 0.3714 0.7500 x4  2 Pt 2.65
Ge2 0.0000 0.3849 0.0381 x8  3 Pt 2.59-2.72, 1 Ge 2.60
Pt1 0.0000 0.2088 0.6051 x8  4 Ge 2.59-2.72

- formation energy (kJ per mole of atoms) = -49